Compound: NaAsHI2
Source: Alexandria
Functional: PBE
Structure: optimized geometry

Cell: 5.9796 5.9934 5.9796 Å, 90.00 90.00 90.00°
With the nearest neighbours (Å) after each atom.
Fractional positions:
I 0.0000 0.0000 0.5000  2 Na 2.99
I 0.5000 0.0000 0.0000  2 Na 2.99
H 0.5000 0.5000 0.5000  4 As 4.23, 8 I 4.23
As 0.0000 0.5000 0.0000  2 Na 3.00
Na 0.0000 0.0000 0.0000  4 I 2.99, 2 As 3.00

Calculated density = 2.7 g cm⁻³
Uncorrected energy = -1.75 eV per atom
DOS at the Fermi energy = 1.65 states/eV/atom